Here is TiSiTeI2 after structural relaxation from Alexandria via LeMat-Bulk. Energies are from GGA-PBE.

a b c (Å): 5.4620 5.4620 5.5047
angles (deg): 90.00 90.00 90.00
Last column: nearest neighbours and their distance in Å.
Fractional positions:
I (0.0000, 0.5000, 0.0000)  2 Ti 2.73
I (0.5000, 0.0000, 0.0000)  2 Ti 2.73
Si (0.5000, 0.5000, 0.5000)  4 Te 3.86, 8 I 3.88
Te (0.0000, 0.0000, 0.5000)  2 Ti 2.75
Ti (0.0000, 0.0000, 0.0000)  4 I 2.73, 2 Te 2.75



Here is TlSiTe2I after structural relaxation from Alexandria via LeMat-Bulk. Energies are from GGA-PBE.

a b c (Å): 5.3517 5.3517 5.9119
angles (deg): 90.00 90.00 90.00
Last column: nearest neighbours and their distance in Å.
Fractional positions:
I (0.0000, 0.0000, 0.5000)  2 Si 2.96
Tl (0.5000, 0.5000, 0.5000)  4 I 3.78, 8 Te 3.99
Te (0.0000, 0.5000, 0.0000)  2 Si 2.68
Te (0.5000, 0.0000, 0.0000)  2 Si 2.68
Si (0.0000, 0.0000, 0.0000)  4 Te 2.68, 2 I 2.96



Here is TlSiTe2I after structural relaxation from Alexandria via LeMat-Bulk. Energies are from GGA-PBE.

a b c (Å): 5.7641 5.7641 5.9345
angles (deg): 90.00 90.00 90.00
Last column: nearest neighbours and their distance in Å.
Fractional positions:
I (0.0000, 0.0000, 0.5000)  2 Tl 2.97
Tl (0.0000, 0.0000, 0.0000)  4 Te 2.88, 2 I 2.97
Te (0.0000, 0.5000, 0.0000)  2 Tl 2.88
Te (0.5000, 0.0000, 0.0000)  2 Tl 2.88
Si (0.5000, 0.5000, 0.5000)  4 I 4.08, 8 Te 4.14



Here is TlSiTeI2 after structural relaxation from Alexandria via LeMat-Bulk. Energies are from GGA-PBE.

a b c (Å): 5.9321 5.9321 5.8991
angles (deg): 90.00 90.00 90.00
Last column: nearest neighbours and their distance in Å.
Fractional positions:
I (0.0000, 0.5000, 0.0000)  2 Tl 2.97
I (0.5000, 0.0000, 0.0000)  2 Tl 2.97
Tl (0.0000, 0.0000, 0.0000)  2 Te 2.95, 4 I 2.97
Te (0.0000, 0.0000, 0.5000)  2 Tl 2.95
Si (0.5000, 0.5000, 0.5000)  8 I 4.18, 4 Te 4.19



These records have energy values of -3.591 -3.055 -2.245 -2.072 eV/atom, in the order they appear.
These records have raw formation energy values of 321 70 880 734 meV/atom, in the order they appear.
These records have polymorph energy (0 for the lowest one) values of 0 0 810 779 meV/atom, in the order they appear.